## one
VASP calculation (PBE) on a geometry-optimized KRbSe3 structure.

Output
Fermi-level density of states: 6.73 states/eV/cell
Spin magnetization: 4.00 μB/f.u.

Cell lengths 6.0859, 6.0859, 6.0859 Å; angles 90.00, 90.00, 90.00 degrees
Each line ends with the local moment (μB).
Atoms (fractional coordinates):
K1 0.0000 0.0000 0.0000  0.03
Se1 0.0000 0.5000 0.0000  0.82
Se2 0.0000 0.0000 0.5000  0.79
Se3 0.5000 0.0000 0.0000  0.74
Rb1 0.5000 0.5000 0.5000  0.00

***

## two
VASP calculation (PBE) on a geometry-optimized KRbSe3 structure.

Output
Fermi-level density of states: 9.76 states/eV/cell
Spin magnetization: 4.00 μB/f.u.

Cell lengths 6.2979, 6.2979, 6.2979 Å; angles 90.00, 90.00, 90.00 degrees
Each line ends with the local moment (μB).
Atoms (fractional coordinates):
K1 0.5000 0.5000 0.5000  0.00
Se1 0.0000 0.5000 0.0000  0.77
Se2 0.0000 0.0000 0.5000  0.88
Se3 0.5000 0.0000 0.0000  0.67
Rb1 0.0000 0.0000 0.0000  0.05

***

one is the most stable structure shown above.